Entry from Alexandria via LeMat-Bulk: a geometry-optimized CsSmMo2O8 structure (GGA+U).

Calculated volume: 17.5 Å³/atom
Density: 4.78 g cm⁻³
E: -7.119 eV/atom

a b c (Å): 5.1493 9.7786 8.3202
angles (deg): 90.00 90.00 90.00
Sites, in units of the cell vectors:
Cs 0.0000 0.0000 0.2500
Cs 0.0000 0.0000 0.7500
Sm 0.0000 0.5000 0.2500
Sm 0.0000 0.5000 0.7500
Mo 0.4786 0.3042 0.0000
Mo 0.4786 0.6958 0.5000
Mo 0.5214 0.3042 0.5000
Mo 0.5214 0.6958 0.0000
O 0.2519 0.4318 0.5000
O 0.2519 0.5682 0.0000
O 0.2639 0.3136 0.1718
O 0.2639 0.3136 0.8282
O 0.2639 0.6864 0.3282
O 0.2639 0.6864 0.6718
O 0.3839 0.1404 0.5000
O 0.3839 0.8596 0.0000
O 0.6161 0.1404 0.0000
O 0.6161 0.8596 0.5000
O 0.7361 0.3136 0.3282
O 0.7361 0.3136 0.6718
O 0.7361 0.6864 0.1718
O 0.7361 0.6864 0.8282
O 0.7481 0.4318 0.0000
O 0.7481 0.5682 0.5000